Record 1
Density functional theory data (PBE) for a geometry-optimized NbZnAs3 structure.

extended XYZ file:
```
5
Lattice="-0.215 -1.990 4.594 -3.716 -3.019 -1.482 3.356 -3.470 -1.346" Properties=species:S:1:pos:R:3 pbc="T T T"
Zn -0.288 -4.240 0.883
Nb 0.000 0.000 0.000
As -1.858 -1.509 -0.741
As 1.678 -1.735 -0.673
As -0.108 -0.995 2.297
```

crystal system	cubic
energy relative to the elements	0.3588	eV per atom
total magnetization	0.00	Bohr magnetons per cell
energy above the most stable polymorph in this dataset	0	meV/atom
density of states at the Fermi level	3.95	states/eV/f.u.

=====

Record 2
Density functional theory data (PBE) for a geometry-optimized TbSnRuRh structure.

extended XYZ file:
```
4
Lattice="-3.645 -2.802 0.921 -0.462 -1.926 4.250 -3.407 1.453 2.875" Properties=species:S:1:pos:R:3 pbc="T T T"
Rh -1.878 -0.819 2.011
Tb 0.000 0.000 0.000
Sn -3.757 -1.638 4.023
Ru -5.635 -2.457 6.034
```

crystal system	cubic
energy relative to the elements	-0.6047	eV per atom
total magnetization	0.00	Bohr magnetons per cell
density of states at the Fermi level	1.09	states/eV/f.u.